DFT (PBE with a Hubbard U) results for MnGaN2O after structural relaxation.

Unit cell a=3.9606 b=3.9606 c=3.9000 alpha=90.00 beta=90.00 gamma=90.00
With the nearest neighbours (Å) after each atom.
Fractional coordinates of all 5 atoms:
N (0.0000, 0.5000, 0.0000)  2 Ga 1.98
N (0.5000, 0.0000, 0.0000)  2 Ga 1.98
Ga (0.0000, 0.0000, 0.0000)  2 O 1.95, 4 N 1.98
Mn (0.5000, 0.5000, 0.5000)  8 N 2.78, 4 O 2.80
O (0.0000, 0.0000, 0.5000)  2 Ga 1.95

Summary:
Calculated volume = 61.2 Å³ per cell
Theoretical density = 4.6 g/cm³
SG = P4/mmm, No. 123
Calculated total energy = -5.850 eV/atom